(1)
Density functional theory data (GGA-PBEsol) for crystalline ZnSbS2N at its relaxed geometry.

Lattice parameters (Å, degrees): 4.8065 4.8065 3.7169 90.00 90.00 90.00
Last column: nearest neighbours and their distance in Å.
Space group P4/mmm (No. 123)
Inequivalent atoms, fractional coordinates:
Zn (0.0000, 0.0000, 0.0000) [1 per cell]  2 N 1.86
Sb (0.5000, 0.5000, 0.5000) [1 per cell]  8 S 3.04, 4 N 3.40
S (0.0000, 0.5000, 0.0000) [2 per cell]  2 Zn 2.40
N (0.0000, 0.0000, 0.5000) [1 per cell]  2 Zn 1.86

Density of states at the Fermi level in states/eV per cell: 1.8
Total energy in eV per atom: -4.060

***

(2)
Density functional theory data (GGA-PBEsol) for crystalline CoSb2O4 at its relaxed geometry.

Lattice parameters (Å, degrees): 8.3920 8.3920 5.8125 90.00 90.00 90.00
Last column: nearest neighbours and their distance in Å.
Space group P4_2/mbc (No. 135)
Inequivalent atoms, fractional coordinates:
Co (0.0000, 0.5000, 0.2500) [4 per cell]  6 O 2.05-2.06
Sb (0.1616, 0.1688, 0.0000) [8 per cell]  3 O 1.98-2.01
O (0.0962, 0.3564, 0.5000) [8 per cell]  1 Sb 1.98, 2 Co 2.05
O (0.1732, 0.6732, 0.2500) [8 per cell]  2 Sb 2.01, 1 Co 2.06

Density of states at the Fermi level in states/eV per cell: 17.9
Total energy in eV per atom: -6.511

***

(3)
Density functional theory data (GGA-PBEsol) for crystalline Nd2CdSe4 at its relaxed geometry.

Lattice parameters (Å, degrees): 8.6401 8.6401 9.0897 90.00 90.00 90.00
Last column: nearest neighbours and their distance in Å.
Space group I-42d (No. 122)
Inequivalent atoms, fractional coordinates:
Nd (0.1292, 0.7500, 0.1250) [8 per cell]  8 Se 2.90-3.22
Cd (0.0000, 0.0000, 0.5000) [4 per cell]  4 Se 2.79
Se (0.0715, 0.6905, 0.4433) [16 per cell]  1 Cd 2.79, 3 Nd 2.90-3.11

Total energy in eV per atom: -5.293

***

(4)
Density functional theory data (GGA-PBEsol) for crystalline SrLi2Au at its relaxed geometry.

Lattice parameters (Å, degrees): 4.5326 4.5326 16.1459 90.00 90.00 120.00
Last column: nearest neighbours and their distance in Å.
Space group R3m (No. 160, hexagonal axes)
Inequivalent atoms, fractional coordinates:
Sr (0.0000, 0.0000, 0.0000) [3 per cell]  4 Li 3.13-3.45, 4 Au 3.25-3.38
Li (0.0000, 0.0000, 0.5173) [3 per cell]  3 Au 2.63, 3 Li 2.71
Li (0.0000, 0.0000, 0.8059) [3 per cell]  3 Li 2.71, 3 Au 2.80
Au (0.0000, 0.0000, 0.2012) [3 per cell]  6 Li 2.63-2.80

ΔE_f in eV/atom: -0.3796
Density of states at the Fermi level in states/eV per cell: 5.1
Energy relative to the lowest polymorph listed for this composition in meV per atom: 0